1.
VASP calculation (PBE) on Sb2SI after structural relaxation.

The structure belongs to space group Fm-3m (No. 225); the cell edges are 7.4491, 7.4491 and 7.4491 Å and the angles 90.00°, 90.00° and 90.00°. The asymmetric unit holds Sb at (0.2500, 0.2500, 0.2500), S at (0.0000, 0.0000, 0.0000) and I at (0.0000, 0.0000, 0.5000).

The total energy is -0.2230 Ry/atom. The value obtained for the energy relative to the elements, uncorrected is 446 meV per atom.

2.
VASP calculation (PBE) on Sb2S2I after structural relaxation.

The structure belongs to space group C2/m (No. 12); the cell edges are 6.7452, 6.7084 and 6.9156 Å and the angles 90.00°, 112.46° and 90.00°. The asymmetric unit holds Sb at (0.1956, 0.0000, 0.3047), S at (0.0000, 0.2436, 0.5000) and I at (0.0000, 0.5000, 0.0000).

The total energy is -0.2742 Ry/atom. The value obtained for the energy relative to the elements, uncorrected is -120 meV per atom.

3.
VASP calculation (PBE) on Sb2SI2 after structural relaxation.

The structure belongs to space group C2/m (No. 12); the cell edges are 15.4504, 4.6328 and 11.3513 Å and the angles 90.00°, 111.50° and 90.00°. The asymmetric unit holds Sb at (0.0681, 0.0000, 0.4336), Sb at (0.1515, 0.0000, 0.9933), S at (0.2349, 0.5000, 0.1126), I at (0.0123, 0.5000, 0.7845) and I at (0.1739, 0.5000, 0.5897).

The total energy is -0.2327 Ry/atom. The value obtained for the energy relative to the elements, uncorrected is -71 meV per atom.

4.
VASP calculation (PBE) on ScSbSI2 after structural relaxation.

The structure belongs to space group P4/mmm (No. 123); the cell edges are 5.4663, 5.4663 and 5.9834 Å and the angles 90.00°, 90.00° and 90.00°. The asymmetric unit holds Sc at (0.0000, 0.0000, 0.0000), Sb at (0.0000, 0.0000, 0.5000), S at (0.5000, 0.5000, 0.5000) and I at (0.0000, 0.5000, 0.0000).

The total energy is -0.2548 Ry/atom. The value obtained for the energy relative to the elements, uncorrected is 70 meV per atom.